## Al4Fe2Si5O18 (PBE+U)

Data for an optimized crystal structure of Al4Fe2Si5O18.

Structure (extended XYZ):
```
58
Lattice="9.3897 0.0000 0.0000 0.0000 9.9526 0.0000 0.0000 4.9763 8.7208" Properties=species:S:1:pos:R:3 pbc="T T T"
Al 0.0000 6.8990 0.8596
Al 0.0000 8.0298 7.8612
Al 4.6949 11.8753 7.8612
Al 4.6949 3.0536 0.8596
Al 2.3490 2.4881 4.3604
Al 2.3458 7.4644 4.3604
Al 7.0407 2.4881 4.3604
Al 7.0439 7.4644 4.3604
Fe 2.3474 4.9763 2.8491
Fe 2.3474 9.9526 5.8717
Fe 7.0423 9.9526 5.8717
Fe 7.0423 4.9763 2.8491
Si 0.0000 2.3174 2.3474
Si 0.0000 12.6114 6.3734
Si 4.6949 7.2937 6.3734
Si 4.6949 7.6351 2.3474
Si 4.6949 10.7470 3.3082
Si 4.6949 4.1818 5.4125
Si 0.0000 5.7707 5.4125
Si 0.0000 9.1581 3.3082
Si 2.3474 4.9763 0.0000
Si 7.0423 4.9763 0.0000
O 3.3607 10.9915 4.2610
O 3.3607 3.9373 4.4598
O 1.3342 6.0153 4.4598
O 1.3342 8.9136 4.2610
O 6.0290 3.9373 4.4598
O 6.0290 10.9915 4.2610
O 8.0555 8.9136 4.2610
O 8.0555 6.0153 4.4598
O 1.3378 3.0217 3.0184
O 1.3378 11.9071 5.7023
O 3.3570 7.9980 5.7023
O 3.3570 6.9309 3.0184
O 8.0519 11.9071 5.7023
O 8.0519 3.0217 3.0184
O 6.0327 6.9309 3.0184
O 6.0327 7.9980 5.7023
O 1.4214 5.8231 1.0629
O 1.4214 9.1057 7.6578
O 3.2734 10.7994 7.6578
O 3.2734 4.1294 1.0629
O 7.9683 9.1057 7.6578
O 7.9683 5.8231 1.0629
O 6.1163 4.1294 1.0629
O 6.1163 10.7994 7.6578
O 0.0000 2.4665 0.7619
O 0.0000 12.4624 7.9588
O 4.6949 7.4427 7.9588
O 4.6949 7.4861 0.7619
O 0.0000 10.7041 2.8204
O 0.0000 4.2247 5.9004
O 4.6949 5.7279 5.9004
O 4.6949 9.2010 2.8204
O 4.6949 1.8539 2.1052
O 4.6949 13.0749 6.6156
O 0.0000 6.8302 6.6156
O 0.0000 8.0986 2.1052
```

Properties
The spin magnetization comes out at 16.00 μB/cell. The calculation puts the total energy at -442.1 eV/cell. Its crystal system is orthorhombic.